[1]
Entry from Alexandria via LeMat-Bulk: a relaxed structure of KSmIn2Cl6 (PBE).

Results
Total moment   0.00 μB/atom
DOS(E_F)   0.00 states/eV/f.u.
Final energy   -3.89 eV/atom

a b c (Å): 7.8403 7.8407 8.0239
angles (deg): 60.72 60.74 59.96
Sites, in units of the cell vectors:
Sm 0.3201 0.3201 0.0397
In 0.5263 0.5264 0.4211
In 0.0233 0.0234 0.9299
K 0.8125 0.8126 0.5623
Cl 0.4323 0.6652 0.7725
Cl 0.5728 0.1895 0.2480
Cl 0.1893 0.9898 0.2483
Cl 0.1298 0.4323 0.7726
Cl 0.9897 0.5730 0.2479
Cl 0.6654 0.1294 0.7729



[2]
Entry from Alexandria via LeMat-Bulk: a relaxed structure of NbI2Br (PBE).

Results
Total moment   0.50 μB/atom
DOS(E_F)   1.69 states/eV/f.u.
Final energy   -3.95 eV/atom

a b c (Å): 10.2977 10.2977 7.7643
angles (deg): 48.46 48.46 90.00
Last column: magnetic moment on the atom in μB.
Sites, in units of the cell vectors:
Br 0.2500 0.7500 0.5000  0.01
Br 0.5000 0.5000 0.0000  0.01
Nb 0.0000 0.0000 0.0000  1.71
Nb 0.7500 0.2500 0.5000  1.72
I 0.9818 0.6250 0.2500  -0.04
I 0.8750 0.0182 0.7500  -0.04
I 0.7682 0.1250 0.2500  -0.04
I 0.3750 0.2318 0.7500  -0.04



[3]
Entry from Alexandria via LeMat-Bulk: a relaxed structure of Tm5TlPb2 (PBE).

Results
Energy relative to the elements   -364 meV/atom
Total moment   0.00 μB/atom
DOS(E_F)   6.08 states/eV/f.u.

a b c (Å): 8.1794 8.1794 8.9071
angles (deg): 117.33 117.33 90.00
Sites, in units of the cell vectors:
Tm 0.1937 0.0007 0.6944
Tm 0.0007 0.5007 0.6944
Tm 0.8063 0.9993 0.3056
Tm 0.6937 0.1937 0.6944
Tm 0.5007 0.6937 0.6944
Tm 0.0000 0.0000 0.0000
Tm 0.5000 0.5000 0.0000
Tm 0.3063 0.8063 0.3056
Tm 0.9993 0.4993 0.3056
Tm 0.4993 0.3063 0.3056
Pb 0.6487 0.1487 0.0000
Pb 0.1487 0.3513 0.0000
Pb 0.3513 0.8513 0.0000
Pb 0.8513 0.6487 0.0000
Tl 0.2500 0.2500 0.5000
Tl 0.7500 0.7500 0.5000



[4]
Entry from Alexandria via LeMat-Bulk: a relaxed structure of Sr4As2Cl5 (PBE).

Results
Total moment   0.02 μB/atom
DOS(E_F)   6.35 states/eV/f.u.
Final energy   -4.20 eV/atom

a b c (Å): 4.2523 8.5440 12.2550
angles (deg): 82.21 99.99 90.00
Sites, in units of the cell vectors:
Cl 0.7862 0.6388 0.5724
Cl 0.2138 0.3612 0.4276
Cl 0.8713 0.2099 0.7425
Cl 0.5000 0.0000 0.0000
Cl 0.1287 0.7901 0.2575
As 0.5495 0.4521 0.0990
As 0.4505 0.5479 0.9010
Sr 0.3302 0.4255 0.6603
Sr 0.6698 0.5745 0.3397
Sr 0.9887 0.2591 0.9773
Sr 0.0113 0.7409 0.0227



[5]
Entry from Alexandria via LeMat-Bulk: a relaxed structure of Sm6Ge2HSe3 (PBE).

Results
Total moment   0.00 μB/atom
DOS(E_F)   3.77 states/eV/f.u.
Final energy   -5.54 eV/atom

a b c (Å): 4.1790 8.3228 9.2942
angles (deg): 104.57 102.99 90.00
Sites, in units of the cell vectors:
Sm 0.6623 0.0869 0.3246
Sm 0.0000 0.7485 0.9999
Sm 0.6694 0.5781 0.3388
Sm 0.0000 0.2515 0.0001
Sm 0.3377 0.9131 0.6754
Sm 0.3306 0.4219 0.6612
Se 0.8313 0.1652 0.6625
Se 0.5000 0.5000 0.0000
Se 0.1687 0.8348 0.3375
H 0.5000 0.0000 0.0000
Ge 0.8375 0.6731 0.6749
Ge 0.1625 0.3269 0.3251



[6]
Entry from Alexandria via LeMat-Bulk: a relaxed structure of TbPrAlGa (PBE).

Results
Energy relative to the elements   -480 meV/atom
Total moment   0.00 μB/atom
DOS(E_F)   4.01 states/eV/f.u.

a b c (Å): 4.4787 4.1768 6.0691
angles (deg): 90.00 111.65 90.00
Sites, in units of the cell vectors:
Pr 0.1415 0.0000 0.2831
Ga 0.5703 0.5000 0.1406
Tb 0.8595 0.5000 0.7190
Al 0.4287 0.0000 0.8574



[7]
Entry from Alexandria via LeMat-Bulk: a relaxed structure of Ti2SnRh (PBE).

Results
Energy relative to the elements   -503 meV/atom
Total moment   0.00 μB/atom
DOS(E_F)   4.09 states/eV/f.u.

a b c (Å): 4.2048 3.9945 3.9945
angles (deg): 90.00 90.00 90.00
Sites, in units of the cell vectors:
Sn 0.5000 0.0000 0.0000
Ti 0.0000 0.5000 0.0000
Ti 0.0000 0.0000 0.5000
Rh 0.5000 0.5000 0.5000



[8]
Entry from Alexandria via LeMat-Bulk: a relaxed structure of Mg2BeFe (PBE).

Results
Energy relative to the elements   665 meV/atom
Total moment   0.51 μB/atom
DOS(E_F)   1.66 states/eV/f.u.

a b c (Å): 7.0087 7.0087 5.5889
angles (deg): 51.17 51.17 90.00
Last column: magnetic moment on the atom in μB.
Sites, in units of the cell vectors:
Fe 0.7500 0.2500 0.5000  2.36
Fe 0.0000 0.0000 0.0000  2.37
Mg 0.3750 0.3959 0.7500  -0.03
Mg 0.8750 0.8541 0.7500  -0.03
Mg 0.6041 0.1250 0.2500  -0.03
Mg 0.1459 0.6250 0.2500  -0.03
Be 0.5000 0.5000 0.0000  -0.05
Be 0.2500 0.7500 0.5000  -0.05